[1]
HgPPdCl2 | PBE-GGA | relaxed

```
HgPPdCl2
1.0
5.2597 0.0000 0.0000
0.0000 5.2597 0.0000
0.0000 0.0000 5.0491
Hg P Pd Cl
1 1 1 2
Cartesian
0.0000 0.0000 0.0000
0.0000 0.0000 2.5245
2.6298 2.6298 2.5245
0.0000 2.6298 0.0000
2.6298 0.0000 0.0000
```

Output
Total magnetization, μB/cell: 1.321
E_tot, Ha/atom: -0.07945
Formation energy (no corrections), eV per atom: 0.76
DOS at the Fermi energy, states/eV per atom: 1.7584



[2]
HgPPtCl2 | PBE-GGA | relaxed

```
HgPPtCl2
1.0
5.1008 0.0000 0.0000
0.0000 5.1008 0.0000
0.0000 0.0000 4.5712
Hg P Pt Cl
1 1 1 2
Cartesian
0.0000 0.0000 0.0000
2.5504 2.5504 0.0000
2.5504 2.5504 2.2856
0.0000 2.5504 2.2856
2.5504 0.0000 2.2856
```

Output
Total magnetization, μB/cell: 0.001
E_tot, Ha/atom: -0.10846
Formation energy (no corrections), eV per atom: 0.14
DOS at the Fermi energy, states/eV per atom: 0.6478